(1)
DFT (PBE) results for VTeAuN2 after structural relaxation.

Lattice parameters (Å, degrees): 3.820 3.820 5.874 90.00 90.00 90.00
Sites, in units of the cell vectors:
N 0.500 0.000 0.000
Te 0.000 0.000 0.500
N 0.000 0.500 0.000
Au 0.500 0.500 0.500
V 0.000 0.000 0.000

Values from the calculation:
Total DFT energy (no corrections) = -30.06 eV for the cell shown
Symmetry = P4/mmm, No. 123
Fermi-level density of states = 2.22 states/eV/cell
Excess energy over the best structure of this formula in the dataset = 0.000 eV per atom
V = 17.14 A^3/atom
Energy relative to the elements, uncorrected = 0.43 eV per atom


(2)
DFT (PBE) results for Te2WAuN after structural relaxation.

Lattice parameters (Å, degrees): 5.526 5.526 3.841 90.00 90.00 90.00
Sites, in units of the cell vectors:
Au 0.000 0.000 0.000
Te 0.000 0.500 0.000
Te 0.500 0.000 0.000
N 0.000 0.000 0.500
W 0.500 0.500 0.500

Values from the calculation:
Total DFT energy (no corrections) = -22.53 eV for the cell shown
Symmetry = P4/mmm, No. 123
Fermi-level density of states = 3.12 states/eV/cell
Excess energy over the best structure of this formula in the dataset = 1.243 eV per atom
V = 23.46 A^3/atom
Energy relative to the elements, uncorrected = 1.66 eV per atom


(3)
DFT (PBE) results for TeWAuN2 after structural relaxation.

Lattice parameters (Å, degrees): 3.966 3.966 8.018 90.00 90.00 90.00
Sites, in units of the cell vectors:
Au 0.000 0.000 0.000
N 0.500 0.000 0.000
W 0.500 0.500 0.500
N 0.000 0.500 0.000
Te 0.000 0.000 0.500

Values from the calculation:
Total DFT energy (no corrections) = -24.68 eV for the cell shown
Symmetry = P4/mmm, No. 123
Fermi-level density of states = 2.33 states/eV/cell
Excess energy over the best structure of this formula in the dataset = 1.855 eV per atom
V = 25.22 A^3/atom
Energy relative to the elements, uncorrected = 2.27 eV per atom


(4)
DFT (PBE) results for Te2WAuN after structural relaxation.

Lattice parameters (Å, degrees): 5.415 5.415 3.814 90.00 90.00 90.00
Sites, in units of the cell vectors:
W 0.000 0.000 0.000
Au 0.500 0.500 0.500
Te 0.500 0.000 0.000
Te 0.000 0.500 0.000
N 0.000 0.000 0.500

Values from the calculation:
Total DFT energy (no corrections) = -28.74 eV for the cell shown
Symmetry = P4/mmm, No. 123
Fermi-level density of states = 3.88 states/eV/cell
Excess energy over the best structure of this formula in the dataset = 0.000 eV per atom
V = 22.37 A^3/atom
Energy relative to the elements, uncorrected = 0.42 eV per atom


(5)
DFT (PBE) results for TeWAuN2 after structural relaxation.

Lattice parameters (Å, degrees): 3.925 3.925 5.864 90.00 90.00 90.00
Sites, in units of the cell vectors:
N 0.000 0.500 0.000
Au 0.500 0.500 0.500
Te 0.000 0.000 0.500
W 0.000 0.000 0.000
N 0.500 0.000 0.000

Values from the calculation:
Total DFT energy (no corrections) = -33.95 eV for the cell shown
Symmetry = P4/mmm, No. 123
Fermi-level density of states = 3.18 states/eV/cell
Excess energy over the best structure of this formula in the dataset = 0.000 eV per atom
V = 18.07 A^3/atom
Energy relative to the elements, uncorrected = 0.42 eV per atom


(6)
DFT (PBE) results for YTe2AuN after structural relaxation.

Lattice parameters (Å, degrees): 5.614 5.614 4.013 90.00 90.00 90.00
Sites, in units of the cell vectors:
Te 0.500 0.000 0.000
N 0.000 0.000 0.500
Te 0.000 0.500 0.000
Y 0.500 0.500 0.500
Au 0.000 0.000 0.000

Values from the calculation:
Total DFT energy (no corrections) = -23.03 eV for the cell shown
Symmetry = P4/mmm, No. 123
Fermi-level density of states = 1.70 states/eV/cell
Excess energy over the best structure of this formula in the dataset = 0.000 eV per atom
V = 25.29 A^3/atom
Energy relative to the elements, uncorrected = 0.26 eV per atom


(7)
DFT (PBE) results for YTe2AuN after structural relaxation.

Lattice parameters (Å, degrees): 6.028 6.028 4.034 90.00 90.00 90.00
Sites, in units of the cell vectors:
Te 0.500 0.000 0.000
Y 0.000 0.000 0.000
Te 0.000 0.500 0.000
N 0.000 0.000 0.500
Au 0.500 0.500 0.500

Values from the calculation:
Total DFT energy (no corrections) = -21.86 eV for the cell shown
Symmetry = P4/mmm, No. 123
Fermi-level density of states = 5.12 states/eV/cell
Excess energy over the best structure of this formula in the dataset = 0.235 eV per atom
V = 29.31 A^3/atom
Energy relative to the elements, uncorrected = 0.50 eV per atom


(8)
DFT (PBE) results for ZnTe2AuN after structural relaxation.

Lattice parameters (Å, degrees): 5.640 5.640 3.562 90.00 90.00 90.00
Sites, in units of the cell vectors:
Au 0.500 0.500 0.500
Te 0.000 0.500 0.000
Zn 0.000 0.000 0.000
Te 0.500 0.000 0.000
N 0.000 0.000 0.500

Values from the calculation:
Total DFT energy (no corrections) = -14.77 eV for the cell shown
Symmetry = P4/mmm, No. 123
Fermi-level density of states = 3.93 states/eV/cell
Excess energy over the best structure of this formula in the dataset = 0.000 eV per atom
V = 22.66 A^3/atom
Energy relative to the elements, uncorrected = 0.88 eV per atom


(9)
DFT (PBE) results for ZnTe2AuN after structural relaxation.

Lattice parameters (Å, degrees): 5.761 5.761 3.759 90.00 90.00 90.00
Sites, in units of the cell vectors:
Te 0.000 0.500 0.000
N 0.000 0.000 0.500
Zn 0.500 0.500 0.500
Te 0.500 0.000 0.000
Au 0.000 0.000 0.000

Values from the calculation:
Total DFT energy (no corrections) = -14.38 eV for the cell shown
Symmetry = P4/mmm, No. 123
Fermi-level density of states = 4.44 states/eV/cell
Excess energy over the best structure of this formula in the dataset = 0.078 eV per atom
V = 24.95 A^3/atom
Energy relative to the elements, uncorrected = 0.96 eV per atom


(10)
DFT (PBE) results for ZrTe2AuN after structural relaxation.

Lattice parameters (Å, degrees): 5.570 5.570 3.890 90.00 90.00 90.00
Sites, in units of the cell vectors:
Te 0.000 0.500 0.000
Au 0.000 0.000 0.000
Zr 0.500 0.500 0.500
N 0.000 0.000 0.500
Te 0.500 0.000 0.000

Values from the calculation:
Total DFT energy (no corrections) = -22.63 eV for the cell shown
Symmetry = P4/mmm, No. 123
Fermi-level density of states = 4.23 states/eV/cell
Excess energy over the best structure of this formula in the dataset = 0.504 eV per atom
V = 24.14 A^3/atom
Energy relative to the elements, uncorrected = 0.76 eV per atom


(11)
DFT (PBE) results for Zr2TeAuN after structural relaxation.

Lattice parameters (Å, degrees): 5.387 4.036 5.387 90.00 90.00 90.00
Sites, in units of the cell vectors:
N 0.000 0.500 0.000
Zr 0.500 0.000 0.000
Zr 0.000 0.000 0.500
Te 0.000 0.000 0.000
Au 0.500 0.500 0.500

Values from the calculation:
Total DFT energy (no corrections) = -27.44 eV for the cell shown
Symmetry = P4/mmm, No. 123
Fermi-level density of states = 3.82 states/eV/cell
V = 23.43 A^3/atom
Energy relative to the elements, uncorrected = 0.88 eV per atom


(12)
DFT (PBE) results for ZrTeAuN2 after structural relaxation.

Lattice parameters (Å, degrees): 4.111 4.111 6.367 90.00 90.00 90.00
Sites, in units of the cell vectors:
N 0.500 0.000 0.000
Zr 0.000 0.000 0.000
Au 0.500 0.500 0.500
Te 0.000 0.000 0.500
N 0.000 0.500 0.000

Values from the calculation:
Total DFT energy (no corrections) = -29.30 eV for the cell shown
Symmetry = P4/mmm, No. 123
Fermi-level density of states = 3.80 states/eV/cell
Excess energy over the best structure of this formula in the dataset = 0.000 eV per atom
V = 21.52 A^3/atom
Energy relative to the elements, uncorrected = 0.46 eV per atom